This record from Alexandria describes crystalline NbTlOF2 at its relaxed geometry. The functional is PBEsol.

**Fermi-level density of states**: 1.33 states/eV per cell
**Symmetry**: P4/mmm (123)
**Calculated volume**: 15.3 Å³/atom
**VASP energy**: -32.1 eV/cell
**Crystal system**: tetragonal

a b c (Å): 4.3811 4.3811 3.9870
angles (deg): 90.00 90.00 90.00
Closest atoms and distances in Å follow each position.
Atoms (fractional coordinates):
Nb (0.0000, 0.0000, 0.0000)  2 O 1.99, 4 F 2.19
Tl (0.5000, 0.5000, 0.5000)  8 F 2.96, 4 O 3.10
O (0.0000, 0.0000, 0.5000)  2 Nb 1.99
F (0.0000, 0.5000, 0.0000)  2 Nb 2.19
F (0.5000, 0.0000, 0.0000)  2 Nb 2.19